## LaNb2AgO7 (meta-GGA SCAN)

Data for a PBEsol-optimized structure of LaNb2AgO7.

```
LaNb2AgO7
1.0
-3.035 1.695 1.777
-1.793 -3.460 0.239
6.946 -0.818 8.355
La Nb Ag O
1 2 1 7
Cartesian
0.000 0.000 0.000
3.569 -1.339 7.374
-1.451 -1.244 2.998
0.749 -0.003 5.570
2.788 -1.046 5.760
-0.670 -1.537 4.612
-0.737 0.555 2.501
-0.127 -2.019 1.710
2.866 -3.142 7.893
2.234 -0.560 8.639
-2.414 -0.882 1.008
```

- Total magnetization: 0.000 μB per formula unit
- E_tot: -19.426 eV per atom
- Formation energy without anion corrections: -2.667 eV/atom
- Space group: I-4m2